CsPuN (PBE, relaxed); energy relative to the elements, uncorrected = -546 meV per atom; total moment = 1.766 μB per atom; symmetry = P2_1/m, No. 11; V = 231 Å³ per cell; DFT total energy = -8.38 eV per atom
1.0
4.159 0.000 0.166
0.000 4.163 0.000
-0.677 0.000 13.340
Cs Pu N
2 2 2
Direct
0.264 0.250 0.325
0.736 0.750 0.675
0.247 0.250 0.931
0.753 0.750 0.069
0.750 0.250 0.000
0.250 0.750 0.000